1.
! PBE-GGA ErCuGeH, optimized geometry; values from VASP
&SYSTEM
  ibrav = 0, nat = 8, ntyp = 4
/
ATOMIC_SPECIES
Cu 63.55 Cu.upf
H 1.01 H.upf
Er 167.26 Er.upf
Ge 72.64 Ge.upf
CELL_PARAMETERS angstrom
-1.156 -3.600 1.251
3.750 -0.842 1.044
-1.218 2.655 6.513
ATOMIC_POSITIONS crystal
Cu 0.500 0.500 0.500
Cu 0.000 0.000 0.500
H 0.000 0.000 0.000
H 0.500 0.500 0.000
Er 0.500 0.000 0.155
Er 0.000 0.500 0.845
Ge 0.000 0.500 0.297
Ge 0.500 0.000 0.703
! Total magnetization in μB per formula unit: 0.0
! E in eV per formula unit: -19.0

2.
! PBE-GGA SbMoCl2, optimized geometry; values from VASP
&SYSTEM
  ibrav = 0, nat = 4, ntyp = 3
/
ATOMIC_SPECIES
Cl 35.45 Cl.upf
Sb 121.76 Sb.upf
Mo 95.94 Mo.upf
CELL_PARAMETERS angstrom
3.187 0.000 0.000
0.000 4.575 0.010
0.000 1.989 7.333
ATOMIC_POSITIONS crystal
Cl 0.500 0.364 0.337
Cl 0.000 0.071 0.922
Sb 0.500 0.763 0.639
Mo 0.000 0.302 0.601
! Excess energy over the best structure of this formula in the dataset in eV/atom: 0.107
! Total magnetization in μB per formula unit: 0.0
! E_form (uncorrected) in meV per atom: -197

3.
! PBE-GGA ZnCu6Sn, optimized geometry; values from VASP
&SYSTEM
  ibrav = 0, nat = 8, ntyp = 3
/
ATOMIC_SPECIES
Cu 63.55 Cu.upf
Zn 65.41 Zn.upf
Sn 118.71 Sn.upf
CELL_PARAMETERS angstrom
4.307 0.000 0.000
0.000 5.380 -0.180
0.000 -2.544 4.744
ATOMIC_POSITIONS crystal
Cu 0.000 0.592 0.935
Cu 0.000 0.592 0.408
Cu 0.500 0.916 0.582
Cu 0.500 0.418 0.084
Cu 0.500 0.916 0.084
Cu 0.000 0.065 0.408
Zn 0.000 0.083 0.917
Sn 0.500 0.417 0.583
! ΔH_f (0 K) in eV/f.u.: 0.02
! Excess energy over the best structure of this formula in the dataset in eV/atom: 0.009
! Total magnetization in μB per formula unit: 0.0

4.
! PBE-GGA HoLu2P, optimized geometry; values from VASP
&SYSTEM
  ibrav = 0, nat = 4, ntyp = 3
/
ATOMIC_SPECIES
Lu 174.97 Lu.upf
Ho 164.93 Ho.upf
P 30.97 P.upf
CELL_PARAMETERS angstrom
3.643 0.000 0.000
1.821 3.155 0.000
1.821 1.052 10.011
ATOMIC_POSITIONS crystal
Lu 0.887 0.887 0.339
Lu 0.113 0.113 0.661
Ho 0.000 0.000 0.000
P 0.500 0.500 0.500
! ΔH_f (0 K) in eV/f.u.: -1.85
! Total magnetization in μB per formula unit: 0.9

5.
! PBE-GGA ThMg12, optimized geometry; values from VASP
&SYSTEM
  ibrav = 0, nat = 13, ntyp = 2
/
ATOMIC_SPECIES
Mg 24.30 Mg.upf
Th 232.04 Th.upf
CELL_PARAMETERS angstrom
5.515 0.000 2.227
2.757 7.207 1.114
0.059 0.000 7.797
ATOMIC_POSITIONS crystal
Mg 0.289 0.211 0.211
Mg 0.500 0.000 0.500
Mg 0.500 0.211 0.789
Mg 0.650 0.350 0.350
Mg 0.000 0.000 0.500
Mg 0.500 0.789 0.211
Mg 0.000 0.350 0.650
Mg 0.000 0.650 0.350
Mg 0.711 0.789 0.789
Mg 0.000 0.500 0.000
Mg 0.500 0.500 0.000
Mg 0.350 0.650 0.650
Th 0.000 0.000 0.000
! ΔH_f (0 K) in eV/f.u.: 0.01
! Total magnetization in μB per formula unit: 0.0

6.
! PBE-GGA CsBaTi2, optimized geometry; values from VASP
&SYSTEM
  ibrav = 0, nat = 4, ntyp = 3
/
ATOMIC_SPECIES
Cs 132.91 Cs.upf
Ti 47.87 Ti.upf
Ba 137.33 Ba.upf
CELL_PARAMETERS angstrom
2.152 0.528 5.219
-2.133 3.854 3.570
-3.025 -1.667 4.496
ATOMIC_POSITIONS crystal
Cs 0.000 0.000 0.000
Ti 0.750 0.750 0.750
Ti 0.250 0.250 0.250
Ba 0.500 0.500 0.500
! ΔH_f (0 K) in eV/f.u.: 6.07
! Total magnetization in μB per formula unit: 0.0

7.
! PBE-GGA Y5TmTh4, optimized geometry; values from VASP
&SYSTEM
  ibrav = 0, nat = 10, ntyp = 3
/
ATOMIC_SPECIES
Y 88.91 Y.upf
Th 232.04 Th.upf
Tm 168.93 Tm.upf
CELL_PARAMETERS angstrom
-3.374 0.263 0.886
-2.935 -6.337 -9.290
1.570 -8.418 1.570
ATOMIC_POSITIONS crystal
Y 0.211 0.385 0.421
Y 0.808 0.084 0.616
Y 0.192 0.916 0.384
Y 0.789 0.615 0.579
Y 0.500 0.500 0.000
Th 0.598 0.205 0.195
Th 0.402 0.795 0.805
Th 0.087 0.710 0.174
Th 0.913 0.290 0.826
Tm 0.500 0.000 0.000
! ΔH_f (0 K) in eV/f.u.: 1.01
! Total magnetization in μB per formula unit: 0.0

8.
! PBE-GGA ZrZnAu4, optimized geometry; values from VASP
&SYSTEM
  ibrav = 0, nat = 6, ntyp = 3
/
ATOMIC_SPECIES
Zn 65.41 Zn.upf
Au 196.97 Au.upf
Zr 91.22 Zr.upf
CELL_PARAMETERS angstrom
-3.915 -3.059 2.288
-5.175 0.451 -1.714
-2.304 -4.067 -2.841
ATOMIC_POSITIONS crystal
Zn 0.750 0.750 0.750
Au 0.375 0.875 0.375
Au 0.875 0.375 0.375
Au 0.375 0.375 0.875
Au 0.375 0.375 0.375
Zr 0.000 0.000 0.000
! ΔH_f (0 K) in eV/f.u.: -0.36
! Total magnetization in μB per formula unit: 0.0

9.
! PBE-GGA Ho4AlHg, optimized geometry; values from VASP
&SYSTEM
  ibrav = 0, nat = 6, ntyp = 3
/
ATOMIC_SPECIES
Al 26.98 Al.upf
Hg 200.59 Hg.upf
Ho 164.93 Ho.upf
CELL_PARAMETERS angstrom
5.027 0.000 0.000
2.513 4.348 0.251
2.513 0.970 8.346
ATOMIC_POSITIONS crystal
Al 0.500 0.500 0.500
Hg 0.000 0.000 0.000
Ho 0.623 0.623 0.130
Ho 0.874 0.874 0.377
Ho 0.126 0.126 0.623
Ho 0.377 0.377 0.870
! ΔH_f (0 K) in eV/f.u.: -0.45
! Total magnetization in μB per formula unit: 0.0

10.
! PBE-GGA CsTl2SnPd, optimized geometry; values from VASP
&SYSTEM
  ibrav = 0, nat = 5, ntyp = 4
/
ATOMIC_SPECIES
Cs 132.91 Cs.upf
Sn 118.71 Sn.upf
Tl 204.38 Tl.upf
Pd 106.42 Pd.upf
CELL_PARAMETERS angstrom
5.610 0.000 0.000
0.000 5.610 0.000
0.000 0.000 5.361
ATOMIC_POSITIONS crystal
Cs 0.500 0.500 0.500
Sn 0.000 0.000 0.500
Tl 0.000 0.500 0.000
Tl 0.500 0.000 0.000
Pd 0.000 0.000 0.000
! ΔH_f (0 K) in eV/f.u.: -0.22
! Total magnetization in μB per formula unit: 0.0

11.
! PBE-GGA La4C2Cl, optimized geometry; values from VASP
&SYSTEM
  ibrav = 0, nat = 7, ntyp = 3
/
ATOMIC_SPECIES
C 12.01 C.upf
La 138.91 La.upf
Cl 35.45 Cl.upf
CELL_PARAMETERS angstrom
-1.049 2.517 -2.635
-3.666 0.858 -0.449
-0.265 11.728 8.581
ATOMIC_POSITIONS crystal
C 0.420 0.420 0.741
C 0.580 0.580 0.259
La 0.720 0.720 0.841
La 0.880 0.880 0.359
La 0.120 0.120 0.641
La 0.280 0.280 0.159
Cl 0.000 0.000 0.000
! Total magnetization in μB per formula unit: 0.0
! E_form (uncorrected) in meV per atom: -639

12.
! PBE-GGA TlTc2IrO8, optimized geometry; values from VASP
&SYSTEM
  ibrav = 0, nat = 12, ntyp = 4
/
ATOMIC_SPECIES
O 16.00 O.upf
Tc 98.00 Tc.upf
Ir 192.22 Ir.upf
Tl 204.38 Tl.upf
CELL_PARAMETERS angstrom
-1.999 -3.970 2.843
3.637 -2.424 2.956
-1.390 4.581 6.642
ATOMIC_POSITIONS crystal
O 0.766 0.252 0.179
O 0.748 0.234 0.821
O 0.234 0.748 0.821
O 0.775 0.775 0.041
O 0.310 0.310 0.602
O 0.252 0.766 0.179
O 0.690 0.690 0.398
O 0.225 0.225 0.959
Tc 0.379 0.379 0.795
Tc 0.621 0.621 0.205
Ir 0.000 0.000 0.000
Tl 0.000 0.000 0.500
! Total magnetization in μB per formula unit: 0.7
! E_form (uncorrected) in meV per atom: -1102